The following is a PBE calculation of a relaxed AsRhSe2 crystal, from Alexandria.

Calculated values
The calculation puts the total DFT energy (no corrections) at -19.43 eV per cell. The calculated density is 7.3 Mg/m³. The value obtained for the magnetization is 0.000 μB/atom. The calculation puts the formation energy from raw total energies at -0.1157 eV per atom.

Cell: 3.595 4.856 4.858 Å, 63.81 90.00 90.00°
Fractional positions:
Se 0.000 0.537 0.537
As 0.500 0.250 0.250
Se 0.000 0.963 0.963
Rh 0.500 0.750 0.750